[1]
This record from Alexandria via LeMat-Bulk describes a relaxed ZrTcHg2 crystal. The functional is PBE-GGA.

a = 3.4701 Å, b = 3.4701 Å, c = 6.6915 Å
α = 90.00°, β = 90.00°, γ = 90.00°
Element x y z (fractional)
1 Zr 0.0000 0.0000 0.0000
2 Tc 0.5000 0.5000 0.8137
3 Hg 0.0000 0.0000 0.5523
4 Hg 0.5000 0.5000 0.2834

Calculated values
Space-group type = P4mm
DFT formation energy = 9 kJ/mol of atoms
Crystal system = tetragonal
Calculated volume = 80.6 Å³/f.u.

***

[2]
This record from Alexandria via LeMat-Bulk describes a relaxed Tl2HgBiSe crystal. The functional is PBE-GGA.

a = 6.0317 Å, b = 6.0317 Å, c = 5.6475 Å
α = 90.00°, β = 90.00°, γ = 90.00°
Element x y z (fractional)
1 Tl 0.0000 0.5000 0.0000
2 Tl 0.5000 0.0000 0.0000
3 Hg 0.0000 0.0000 0.5000
4 Bi 0.0000 0.0000 0.0000
5 Se 0.5000 0.5000 0.5000

Calculated values
Space-group type = P4/mmm
Crystal system = tetragonal
Calculated volume = 205.5 Å³/f.u.
Formation energy without anion corrections = 0.323 eV/atom

***

[3]
This record from Alexandria via LeMat-Bulk describes a relaxed Sc3TiAu crystal. The functional is PBE-GGA.

a = 4.8897 Å, b = 4.8897 Å, c = 4.8897 Å
α = 90.00°, β = 90.00°, γ = 90.00°
Element x y z (fractional)
1 Sc 0.0000 0.0000 0.5000
2 Sc 0.0000 0.5000 0.0000
3 Sc 0.5000 0.0000 0.0000
4 Ti 0.0000 0.0000 0.0000
5 Au 0.5000 0.5000 0.5000

Calculated values
Space-group type = Pm-3m
DFT formation energy = 47 kJ/mol of atoms
Crystal system = cubic
Calculated volume = 116.9 Å³/f.u.

***

[4]
This record from Alexandria via LeMat-Bulk describes a relaxed MgGaB2 crystal. The functional is PBE-GGA.

a = 7.6751 Å, b = 7.6751 Å, c = 7.6751 Å
α = 150.64°, β = 150.64°, γ = 42.01°
Element x y z (fractional)
1 Mg 0.0000 0.0000 0.0000
2 Mg 0.7500 0.2500 0.5000
3 Ga 0.2500 0.7500 0.5000
4 Ga 0.5000 0.5000 0.0000
5 B 0.3013 0.6250 0.1763
6 B 0.3750 0.5513 0.6763
7 B 0.4487 0.1250 0.8237
8 B 0.8750 0.6987 0.3237

Calculated values
Space-group type = I-42d
DFT formation energy = 73 kJ/mol of atoms
Crystal system = tetragonal
Calculated volume = 54.2 Å³/f.u.

***

[5]
This record from Alexandria via LeMat-Bulk describes a relaxed HfNiHg crystal. The functional is PBE-GGA.

a = 5.5472 Å, b = 5.5472 Å, c = 5.5472 Å
α = 145.97°, β = 145.97°, γ = 48.90°
Element x y z (fractional)
1 Hf 0.0000 0.0000 0.0000
2 Ni 0.6369 0.6369 0.0000
3 Hg 0.3002 0.3002 0.0000

Calculated values
Space-group type = I4mm
DFT formation energy = -14 kJ/mol of atoms
Crystal system = tetragonal
Calculated volume = 53.2 Å³/f.u.

***

[6]
This record from Alexandria via LeMat-Bulk describes a relaxed PmErSc2S4 crystal. The functional is PBE-GGA.

a = 6.6307 Å, b = 3.7842 Å, c = 6.6633 Å
α = 90.00°, β = 108.99°, γ = 90.00°
Element x y z (fractional)
1 Pm 0.0000 0.0000 0.0000
2 Er 0.5000 0.5000 0.0000
3 Sc 0.0000 0.5000 0.5000
4 Sc 0.5000 0.0000 0.5000
5 S 0.2514 0.0000 0.7329
6 S 0.2648 0.5000 0.2726
7 S 0.7352 0.5000 0.7274
8 S 0.7486 0.0000 0.2671

Calculated values
Space-group type = P2/m
Crystal system = monoclinic
Calculated volume = 158.1 Å³/f.u.
Formation energy without anion corrections = -1.912 eV/atom

***

[7]
This record from Alexandria via LeMat-Bulk describes a relaxed ZnSbPb2 crystal. The functional is PBE-GGA.

a = 7.9796 Å, b = 7.9796 Å, c = 7.9796 Å
α = 129.96°, β = 129.96°, γ = 73.47°
Element x y z (fractional)
1 Zn 0.0000 0.0000 0.0000
2 Zn 0.7500 0.2500 0.5000
3 Sb 0.2500 0.7500 0.5000
4 Sb 0.5000 0.5000 0.0000
5 Pb 0.0971 0.6250 0.9721
6 Pb 0.3750 0.3471 0.4721
7 Pb 0.6529 0.1250 0.0279
8 Pb 0.8750 0.9029 0.5279

Calculated values
Space-group type = I-42d
Crystal system = tetragonal
Calculated volume = 145.7 Å³/f.u.
Formation energy without anion corrections = 0.196 eV/atom

***

[8]
This record from Alexandria via LeMat-Bulk describes a relaxed Ba2CrI crystal. The functional is PBE-GGA.

a = 7.9640 Å, b = 7.9640 Å, c = 7.9640 Å
α = 109.36°, β = 109.36°, γ = 109.70°
Element x y z (fractional)
1 Ba 0.1152 0.6250 0.9902
2 Ba 0.3750 0.3652 0.4902
3 Ba 0.6348 0.1250 0.0098
4 Ba 0.8750 0.8848 0.5098
5 Cr 0.0000 0.0000 0.0000
6 Cr 0.7500 0.2500 0.5000
7 I 0.2500 0.7500 0.5000
8 I 0.5000 0.5000 0.0000

Calculated values
Space-group type = I-42d
Crystal system = tetragonal
Calculated volume = 194.4 Å³/f.u.
Formation energy without anion corrections = 0.000 eV/atom

***

[9]
This record from Alexandria via LeMat-Bulk describes a relaxed Li2HgRu crystal. The functional is PBE-GGA.

a = 4.8034 Å, b = 4.8034 Å, c = 4.8603 Å
α = 100.51°, β = 100.51°, γ = 34.83°
Element x y z (fractional)
1 Li 0.2486 0.2486 0.2248
2 Li 0.7514 0.7514 0.7752
3 Hg 0.0000 0.0000 0.5000
4 Ru 0.5000 0.5000 0.0000

Calculated values
Space-group type = C2/m
DFT formation energy = 9 kJ/mol of atoms
Crystal system = monoclinic
Calculated volume = 62.9 Å³/f.u.

***

[10]
This record from Alexandria via LeMat-Bulk describes a relaxed Dy6Fe2Pb crystal. The functional is PBE-GGA.

a = 8.4596 Å, b = 8.4596 Å, c = 8.4596 Å
α = 111.28°, β = 109.89°, γ = 107.26°
Element x y z (fractional)
1 Dy 0.0105 0.2293 0.7812
2 Dy 0.1877 0.2892 0.4769
3 Dy 0.1877 0.7108 0.8986
4 Dy 0.3125 0.0123 0.6998
5 Dy 0.3125 0.6127 0.3002
6 Dy 0.4481 0.2293 0.2188
7 Dy 0.5519 0.7707 0.7812
8 Dy 0.6875 0.3873 0.6998
9 Dy 0.6875 0.9877 0.3002
10 Dy 0.8123 0.2892 0.1014
11 Dy 0.8123 0.7108 0.5231
12 Dy 0.9895 0.7707 0.2188
13 Fe 0.1077 0.6077 0.5000
14 Fe 0.3884 0.0000 0.3884
15 Fe 0.6116 0.0000 0.6116
16 Fe 0.8923 0.3923 0.5000
17 Pb 0.0000 0.0000 0.0000
18 Pb 0.5000 0.5000 0.0000

Calculated values
Space-group type = Immm
DFT formation energy = -17 kJ/mol of atoms
Crystal system = orthorhombic
Calculated volume = 232.7 Å³/f.u.

***

[11]
This record from Alexandria via LeMat-Bulk describes a relaxed Si3Se crystal. The functional is PBE-GGA.

a = 4.9078 Å, b = 4.9699 Å, c = 6.0185 Å
α = 90.00°, β = 90.00°, γ = 90.00°
Element x y z (fractional)
1 Si 0.0065 0.2500 0.0309
2 Si 0.2500 0.2500 0.6501
3 Si 0.4935 0.2500 0.0309
4 Si 0.5065 0.7500 0.9691
5 Si 0.7500 0.7500 0.3499
6 Si 0.9935 0.7500 0.9691
7 Se 0.2500 0.7500 0.5327
8 Se 0.7500 0.2500 0.4673

Calculated values
Space-group type = Pmmn
Crystal system = orthorhombic
Calculated volume = 73.4 Å³/f.u.
Formation energy without anion corrections = 0.330 eV/atom

***

[12]
This record from Alexandria via LeMat-Bulk describes a relaxed Ta2WBr crystal. The functional is PBE-GGA.

a = 4.8254 Å, b = 4.8254 Å, c = 4.8254 Å
α = 125.26°, β = 125.26°, γ = 81.10°
Element x y z (fractional)
1 Ta 0.2500 0.7500 0.5000
2 Ta 0.7500 0.2500 0.5000
3 W 0.0000 0.0000 0.0000
4 Br 0.5000 0.5000 0.0000

Calculated values
Space-group type = I4/mmm
Crystal system = tetragonal
Calculated volume = 72.2 Å³/f.u.
Formation energy without anion corrections = 0.872 eV/atom

***

[13]
This record from Alexandria via LeMat-Bulk describes a relaxed CoSiPb3 crystal. The functional is PBE-GGA.

a = 5.0664 Å, b = 5.0664 Å, c = 5.0664 Å
α = 90.00°, β = 90.00°, γ = 90.00°
Element x y z (fractional)
1 Co 0.0000 0.0000 0.0000
2 Si 0.5000 0.5000 0.5000
3 Pb 0.0000 0.0000 0.5000
4 Pb 0.0000 0.5000 0.0000
5 Pb 0.5000 0.0000 0.0000

Calculated values
Space-group type = Pm-3m
Crystal system = cubic
Calculated volume = 130.0 Å³/f.u.
Formation energy without anion corrections = 0.522 eV/atom

***

[14]
This record from Alexandria via LeMat-Bulk describes a relaxed In3PdW crystal. The functional is PBE-GGA.

a = 5.0738 Å, b = 5.0738 Å, c = 5.0738 Å
α = 90.00°, β = 90.00°, γ = 90.00°
Element x y z (fractional)
1 In 0.0000 0.0000 0.5000
2 In 0.0000 0.5000 0.0000
3 In 0.5000 0.0000 0.0000
4 Pd 0.0000 0.0000 0.0000
5 W 0.5000 0.5000 0.5000

Calculated values
Space-group type = Pm-3m
DFT formation energy = 98 kJ/mol of atoms
Crystal system = cubic
Calculated volume = 130.6 Å³/f.u.

***

[15]
This record from Alexandria via LeMat-Bulk describes a relaxed Pm2AlNi2Pt5 crystal. The functional is PBE-GGA.

a = 9.3437 Å, b = 9.3437 Å, c = 3.9363 Å
α = 90.00°, β = 90.00°, γ = 90.00°
Element x y z (fractional)
1 Pm 0.1746 0.3254 0.0000
2 Pm 0.3254 0.8254 0.0000
3 Pm 0.6746 0.1746 0.0000
4 Pm 0.8254 0.6746 0.0000
5 Al 0.0000 0.0000 0.0000
6 Al 0.5000 0.5000 0.0000
7 Ni 0.1236 0.6236 0.0000
8 Ni 0.3764 0.1236 0.0000
9 Ni 0.6236 0.8764 0.0000
10 Ni 0.8764 0.3764 0.0000
11 Pt 0.0000 0.5000 0.5000
12 Pt 0.0668 0.7955 0.5000
13 Pt 0.2045 0.0668 0.5000
14 Pt 0.2955 0.5668 0.5000
15 Pt 0.4332 0.2955 0.5000
16 Pt 0.5000 0.0000 0.5000
17 Pt 0.5668 0.7045 0.5000
18 Pt 0.7045 0.4332 0.5000
19 Pt 0.7955 0.9332 0.5000
20 Pt 0.9332 0.2045 0.5000

Calculated values
Space-group type = P4/mbm
DFT formation energy = -81 kJ/mol of atoms
Crystal system = tetragonal
Calculated volume = 171.8 Å³/f.u.

***

[16]
This record from Alexandria via LeMat-Bulk describes a relaxed Ho2ZrRu3 crystal. The functional is PBE-GGA.

a = 4.7216 Å, b = 4.7216 Å, c = 11.6394 Å
α = 90.00°, β = 90.00°, γ = 120.00°
Element x y z (fractional)
1 Ho 0.0000 0.0000 0.0000
2 Ho 0.0000 0.0000 0.5000
3 Ho 0.3333 0.6667 0.1685
4 Ho 0.6667 0.3333 0.8315
5 Zr 0.3333 0.6667 0.6654
6 Zr 0.6667 0.3333 0.3346
7 Ru 0.0000 0.0000 0.2572
8 Ru 0.0000 0.0000 0.7428
9 Ru 0.3333 0.6667 0.4175
10 Ru 0.3333 0.6667 0.9087
11 Ru 0.6667 0.3333 0.0913
12 Ru 0.6667 0.3333 0.5825

Calculated values
Space-group type = P-3m1
DFT formation energy = -45 kJ/mol of atoms
Crystal system = trigonal
Calculated volume = 112.4 Å³/f.u.

***

[17]
This record from Alexandria via LeMat-Bulk describes a relaxed Tb2NdHoMg crystal. The functional is PBE-GGA.

a = 6.1637 Å, b = 5.6182 Å, c = 9.4302 Å
α = 90.00°, β = 108.91°, γ = 90.00°
Element x y z (fractional)
1 Tb 0.0506 0.2500 0.2988
2 Tb 0.1237 0.7500 0.1057
3 Tb 0.8763 0.2500 0.8943
4 Tb 0.9494 0.7500 0.7012
5 Nd 0.4637 0.2500 0.1115
6 Nd 0.5363 0.7500 0.8885
7 Ho 0.3371 0.7500 0.5015
8 Ho 0.6629 0.2500 0.4985
9 Mg 0.2688 0.2500 0.6919
10 Mg 0.7312 0.7500 0.3081

Calculated values
Space-group type = P2_1/m
DFT formation energy = 2 kJ/mol of atoms
Crystal system = monoclinic
Calculated volume = 154.5 Å³/f.u.

***

[18]
This record from Alexandria via LeMat-Bulk describes a relaxed MnVOs crystal. The functional is PBE-GGA.

a = 4.1978 Å, b = 4.1978 Å, c = 2.6104 Å
α = 90.00°, β = 90.00°, γ = 120.00°
Element x y z (fractional)
1 Mn 0.0000 0.0000 0.0000
2 V 0.3333 0.6667 0.7136
3 Os 0.6667 0.3333 0.3947

Calculated values
Space-group type = P3m1
DFT formation energy = -7 kJ/mol of atoms
Crystal system = trigonal
Calculated volume = 39.8 Å³/f.u.

***

[19]
This record from Alexandria via LeMat-Bulk describes a relaxed SrPm2Y3Te6 crystal. The functional is PBE-GGA.

a = 9.9824 Å, b = 9.9824 Å, c = 8.9542 Å
α = 103.64°, β = 103.64°, γ = 25.70°
Element x y z (fractional)
1 Sr 0.0000 0.0000 0.0000
2 Pm 0.3271 0.3271 0.6535
3 Pm 0.6729 0.6729 0.3465
4 Y 0.0000 0.0000 0.5000
5 Y 0.3342 0.3342 0.1780
6 Y 0.6658 0.6658 0.8220
7 Te 0.1621 0.1621 0.5867
8 Te 0.1712 0.1712 0.0787
9 Te 0.4993 0.4993 0.7390
10 Te 0.5007 0.5007 0.2610
11 Te 0.8288 0.8288 0.9213
12 Te 0.8379 0.8379 0.4133

Calculated values
Space-group type = C2/m
Crystal system = monoclinic
Calculated volume = 375.5 Å³/f.u.
Formation energy without anion corrections = -1.408 eV/atom

***

[20]
This record from Alexandria via LeMat-Bulk describes a relaxed TmCd15Ag4 crystal. The functional is PBE-GGA.

a = 4.4162 Å, b = 4.4162 Å, c = 21.8220 Å
α = 90.00°, β = 90.00°, γ = 90.00°
Element x y z (fractional)
1 Tm 0.0000 0.0000 0.0000
2 Cd 0.0000 0.5000 0.1072
3 Cd 0.0000 0.5000 0.3040
4 Cd 0.0000 0.5000 0.5000
5 Cd 0.0000 0.5000 0.6960
6 Cd 0.0000 0.5000 0.8928
7 Cd 0.5000 0.0000 0.1072
8 Cd 0.5000 0.0000 0.3040
9 Cd 0.5000 0.0000 0.5000
10 Cd 0.5000 0.0000 0.6960
11 Cd 0.5000 0.0000 0.8928
12 Cd 0.5000 0.5000 0.0000
13 Cd 0.5000 0.5000 0.2077
14 Cd 0.5000 0.5000 0.4012
15 Cd 0.5000 0.5000 0.5988
16 Cd 0.5000 0.5000 0.7923
17 Ag 0.0000 0.0000 0.2035
18 Ag 0.0000 0.0000 0.4040
19 Ag 0.0000 0.0000 0.5960
20 Ag 0.0000 0.0000 0.7965

Calculated values
Space-group type = P4/mmm
DFT formation energy = -6 kJ/mol of atoms
Crystal system = tetragonal
Calculated volume = 425.6 Å³/f.u.